Entry 1:
Density functional theory data (PBE) for crystalline TbScMo at its relaxed geometry.

Lattice parameters (Å, degrees): 4.7236 4.7236 4.7236 60.00 60.00 60.00
With the nearest neighbours (Å) after each atom.
Fractional coordinates of all 3 atoms:
1 Tb 0.0000 0.0000 0.0000  4 Sc 2.89
2 Sc 0.7500 0.7500 0.7500  4 Tb 2.89, 4 Mo 2.89
3 Mo 0.5000 0.5000 0.5000  4 Sc 2.89

Properties
- electronic total energy (eV/cell) = -18.53
- DFT formation energy (meV per atom) = 1092

***

Entry 2:
Density functional theory data (PBE) for crystalline Ba2OsO6 at its relaxed geometry.

Lattice parameters (Å, degrees): 5.7980 5.7980 5.7980 60.00 60.00 60.00
With the nearest neighbours (Å) after each atom.
Fractional coordinates of all 9 atoms:
1 Ba 0.2500 0.2500 0.2500  12 O 2.90
2 Ba 0.7500 0.7500 0.7500  12 O 2.90
3 Os 0.0000 0.0000 0.0000  6 O 1.87
4 O 0.2283 0.2283 0.7717  1 Os 1.87
5 O 0.2283 0.7717 0.2283  1 Os 1.87
6 O 0.2283 0.7717 0.7717  1 Os 1.87
7 O 0.7717 0.2283 0.2283  1 Os 1.87
8 O 0.7717 0.2283 0.7717  1 Os 1.87
9 O 0.7717 0.7717 0.2283  1 Os 1.87

Properties
- energy above the lowest structure with this stoichiometry (eV/f.u.) = 0.00
- electronic total energy (eV/cell) = -61.48

***

Entry 3:
Density functional theory data (PBE) for crystalline CsDyFeTe3 at its relaxed geometry.

Lattice parameters (Å, degrees): 9.6234 9.6234 9.8653 101.12 101.12 27.72
With the nearest neighbours (Å) after each atom.
Fractional coordinates of all 12 atoms:
1 Cs 0.1534 0.1534 0.0618  7 Te 3.63-3.74
2 Cs 0.8466 0.8466 0.9382  7 Te 3.63-3.74
3 Dy 0.1668 0.1668 0.5721  6 Te 3.05-3.13
4 Dy 0.8332 0.8332 0.4279  6 Te 3.05-3.13
5 Fe 0.4993 0.4993 0.2765  3 Te 2.73-2.99
6 Fe 0.5007 0.5007 0.7235  3 Te 2.73-2.99
7 Te 0.0000 0.0000 0.5000  2 Dy 3.06, 4 Fe 3.19
8 Te 0.3378 0.3378 0.6406  1 Fe 2.99, 3 Dy 3.11-3.13
9 Te 0.3506 0.3506 0.2344  1 Fe 2.73, 2 Dy 3.05
10 Te 0.5000 0.5000 0.0000  2 Fe 2.73
11 Te 0.6494 0.6494 0.7656  1 Fe 2.73, 2 Dy 3.05
12 Te 0.6622 0.6622 0.3594  1 Fe 2.99, 3 Dy 3.11-3.13

Properties
- electronic total energy (eV/cell) = -54.33

***

Entry 4:
Density functional theory data (PBE) for crystalline Li2TlHg at its relaxed geometry.

Lattice parameters (Å, degrees): 4.7238 4.7238 3.4555 90.00 90.00 90.46
With the nearest neighbours (Å) after each atom.
Fractional coordinates of all 4 atoms:
1 Li 0.0000 0.5000 0.0000  4 Hg 2.93, 4 Tl 2.93
2 Li 0.5000 0.0000 0.0000  4 Hg 2.93, 4 Tl 2.93
3 Tl 0.0000 0.0000 0.5000  8 Li 2.93
4 Hg 0.5000 0.5000 0.5000  8 Li 2.93

Properties
- electronic total energy (eV/cell) = -7.66

***

Entry 5:
Density functional theory data (PBE) for crystalline PmBiB at its relaxed geometry.

Lattice parameters (Å, degrees): 4.6422 4.6422 4.6422 60.00 60.00 60.00
With the nearest neighbours (Å) after each atom.
Fractional coordinates of all 3 atoms:
1 Pm 0.0000 0.0000 0.0000  4 B 2.84
2 Bi 0.5000 0.5000 0.5000  4 B 2.84
3 B 0.7500 0.7500 0.7500  4 Bi 2.84, 4 Pm 2.84

Properties
- energy above the lowest structure with this stoichiometry (eV/f.u.) = 0.00
- electronic total energy (eV/cell) = -14.58

***

Entry 6:
Density functional theory data (PBE) for crystalline Sr2ZnPt at its relaxed geometry.

Lattice parameters (Å, degrees): 5.1447 5.1447 5.1447 60.00 60.00 60.00
With the nearest neighbours (Å) after each atom.
Fractional coordinates of all 4 atoms:
1 Sr 0.0000 0.0000 0.0000  4 Sr 3.15, 4 Zn 3.15
2 Sr 0.2500 0.2500 0.2500  4 Pt 3.15, 4 Sr 3.15
3 Zn 0.7500 0.7500 0.7500  4 Sr 3.15, 4 Pt 3.15
4 Pt 0.5000 0.5000 0.5000  4 Sr 3.15, 4 Zn 3.15

Properties
- electronic total energy (eV/cell) = -11.49